KFeB2F8 | PBE+U | optimized geometry

Output
- Electronic total energy: -66.3 eV per formula unit
- Space-group type: No. 148

a = 5.0393 Å, b = 5.0393 Å, c = 7.9349 Å
α = 71.49°, β = 71.49°, γ = 60.00°
Element x y z (fractional)
Fe1 0.0000 0.0000 0.0000
F1 0.0017 0.5348 0.1854
F2 0.7219 0.9983 0.8146
F3 0.5348 0.2781 0.1854
F4 0.1869 0.1869 0.4392
F5 0.8131 0.8131 0.5608
F6 0.4652 0.7219 0.8146
F7 0.9983 0.4652 0.8146
F8 0.2781 0.0017 0.1854
B1 0.2511 0.2511 0.2468
B2 0.7489 0.7489 0.7532
K1 0.5000 0.5000 0.5000